[1]
The following is a PBE-GGA calculation of a relaxed structure of RbNiS, from the Alexandria database.

Results
space group	P-6m2, No. 187
energy	-4.197	eV/atom
formation energy without anion corrections	-55	kJ/mol of atoms
M_tot	0.0	Bohr magnetons per cell

Lattice parameters (Å, degrees): 3.8254 3.8254 5.3574 90.00 90.00 120.00
Positions (direct):
Rb1 0.0000 0.0000 0.0000
Ni1 0.6667 0.3333 0.5000
S1 0.3333 0.6667 0.5000

---

[2]
The following is a PBE-GGA calculation of a relaxed structure of YHRh3, from the Alexandria database.

Results
space group	R3m, No. 160
energy	-5.995	eV/atom
ΔE to the lowest computed polymorph	872.4	meV/atom
M_tot	5.4	Bohr magnetons per cell

Lattice parameters (Å, degrees): 5.1455 5.1455 14.4573 90.00 90.00 120.00
Positions (direct):
Y1 0.0000 0.0000 0.0000
Y2 0.3333 0.6667 0.6667
Y3 0.6667 0.3333 0.3333
H1 0.0000 0.0000 0.7571
H2 0.3333 0.6667 0.4238
H3 0.6667 0.3333 0.0905
Rh1 0.1684 0.3368 0.8338
Rh2 0.1684 0.8316 0.8338
Rh3 0.3298 0.1649 0.1671
Rh4 0.5017 0.0035 0.5005
Rh5 0.5017 0.4983 0.5005
Rh6 0.6632 0.8316 0.8338
Rh7 0.8351 0.1649 0.1671
Rh8 0.8351 0.6702 0.1671
Rh9 0.9965 0.4983 0.5005

---

[3]
The following is a PBE-GGA calculation of a relaxed structure of Pr5YTl2, from the Alexandria database.

Results
formation energy from the elements	-0.076	eV/atom
space group	P6_3/mmc, No. 194
energy	-4.463	eV/atom
ΔE to the lowest computed polymorph	44.0	meV/atom
M_tot	0.0	Bohr magnetons per cell

Lattice parameters (Å, degrees): 5.6316 5.6316 20.4357 90.00 90.00 120.00
Positions (direct):
Pr1 0.0000 0.0000 0.1606
Pr2 0.0000 0.0000 0.3394
Pr3 0.0000 0.0000 0.6606
Pr4 0.0000 0.0000 0.8394
Pr5 0.3333 0.6667 0.0618
Pr6 0.3333 0.6667 0.2500
Pr7 0.3333 0.6667 0.4382
Pr8 0.6667 0.3333 0.5618
Pr9 0.6667 0.3333 0.7500
Pr10 0.6667 0.3333 0.9382
Y1 0.3333 0.6667 0.7500
Y2 0.6667 0.3333 0.2500
Tl1 0.3333 0.6667 0.5968
Tl2 0.3333 0.6667 0.9032
Tl3 0.6667 0.3333 0.0968
Tl4 0.6667 0.3333 0.4032

---

[4]
The following is a PBE-GGA calculation of a relaxed structure of BaTlNi2, from the Alexandria database.

Results
formation energy from the elements	0.224	eV/atom
space group	P4mm, No. 99
energy	-3.739	eV/atom
M_tot	0.0	Bohr magnetons per cell

Lattice parameters (Å, degrees): 3.4174 3.4174 7.5802 90.00 90.00 90.00
Positions (direct):
Ba1 0.0000 0.0000 0.0000
Tl1 0.5000 0.5000 0.6265
Ni1 0.0000 0.0000 0.3849
Ni2 0.5000 0.5000 0.2876

---

[5]
The following is a PBE-GGA calculation of a relaxed structure of Hg2PbN, from the Alexandria database.

Results
space group	Fm-3m, No. 225
energy	-1.997	eV/atom
formation energy without anion corrections	112	kJ/mol of atoms
ΔE to the lowest computed polymorph	413.5	meV/atom
M_tot	4.4	Bohr magnetons per cell

Lattice parameters (Å, degrees): 7.1597 7.1597 7.1597 90.00 90.00 90.00
Positions (direct):
Hg1 0.2500 0.2500 0.2500
Hg2 0.2500 0.2500 0.7500
Hg3 0.2500 0.7500 0.2500
Hg4 0.2500 0.7500 0.7500
Hg5 0.7500 0.2500 0.2500
Hg6 0.7500 0.2500 0.7500
Hg7 0.7500 0.7500 0.2500
Hg8 0.7500 0.7500 0.7500
Pb1 0.0000 0.0000 0.0000
Pb2 0.0000 0.5000 0.5000
Pb3 0.5000 0.0000 0.5000
Pb4 0.5000 0.5000 0.0000
N1 0.0000 0.0000 0.5000
N2 0.0000 0.5000 0.0000
N3 0.5000 0.0000 0.0000
N4 0.5000 0.5000 0.5000

---

[6]
The following is a PBE-GGA calculation of a relaxed structure of YSb2Ru, from the Alexandria database.

Results
space group	Imm2, No. 44
energy	-6.389	eV/atom
formation energy without anion corrections	-38	kJ/mol of atoms
M_tot	0.0	Bohr magnetons per cell

Lattice parameters (Å, degrees): 3.3408 4.1908 13.3146 90.00 90.00 90.00
Positions (direct):
Y1 0.0000 0.0000 0.0000
Y2 0.5000 0.5000 0.5000
Sb1 0.0000 0.0000 0.6134
Sb2 0.0000 0.5000 0.8318
Sb3 0.5000 0.0000 0.3318
Sb4 0.5000 0.5000 0.1134
Ru1 0.0000 0.5000 0.2709
Ru2 0.5000 0.0000 0.7709

---

Question: M_tot of number 5 (Hg2PbN)?
Answer: 4.4 Bohr magnetons per cell